No. 1
First-principles (PBE) data for crystalline La4HoTh3 at its relaxed geometry, as listed in Alexandria via LeMat-Bulk.

Values from the calculation:
The formation energy comes out at 0.03 eV/atom. The calculation puts the density at 8.6 g/cm3. For the uncorrected energy, the calculation gives -0.42562 Ry/atom. As for the density of states at the Fermi level: 1.56 states/eV per atom. The magnetic moment is 0.0 μB per formula unit.

Unit cell a=5.1019 b=10.4519 c=10.2385 alpha=90.00 beta=90.00 gamma=90.00
Closest atoms and distances in Å follow each position.
Fractional coordinates of all 16 atoms:
La  0.0644  0.8661  0.5000  8 La 3.62-3.85, 2 Ho 3.67, 2 Th 3.68
La  0.5644  0.8610  0.7502  3 Th 3.61-3.62, 8 La 3.61-3.90, 1 Ho 3.64
Ho  0.0644  0.3865  0.0000  8 Th 3.49-3.63, 4 La 3.64-3.67
Th  0.0644  0.6155  0.2480  3 Ho 3.49-3.63, 5 Th 3.51-3.60, 4 La 3.58-3.68
Th  0.5644  0.3845  0.2520  3 Ho 3.49-3.63, 5 Th 3.51-3.60, 4 La 3.58-3.68
Th  0.0644  0.6155  0.7520  3 Ho 3.49-3.63, 5 Th 3.51-3.60, 4 La 3.58-3.68
La  0.5644  0.1425  0.5000  4 Th 3.58, 8 La 3.61-3.90
La  0.0644  0.1390  0.2502  3 Th 3.61-3.62, 8 La 3.61-3.90, 1 Ho 3.64
Th  0.5644  0.3845  0.7480  3 Ho 3.49-3.63, 5 Th 3.51-3.60, 4 La 3.58-3.68
La  0.5644  0.1339  0.0000  8 La 3.62-3.85, 2 Ho 3.67, 2 Th 3.68
La  0.0644  0.8575  0.0000  4 Th 3.58, 8 La 3.61-3.90
Th  0.5644  0.6172  0.0000  2 Ho 3.51, 6 Th 3.55-3.60, 4 La 3.58-3.61
Th  0.0644  0.3828  0.5000  2 Ho 3.51, 6 Th 3.55-3.60, 4 La 3.58-3.61
La  0.0644  0.1390  0.7498  3 Th 3.61-3.62, 8 La 3.61-3.90, 1 Ho 3.64
La  0.5644  0.8610  0.2498  3 Th 3.61-3.62, 8 La 3.61-3.90, 1 Ho 3.64
Ho  0.5644  0.6135  0.5000  8 Th 3.49-3.63, 4 La 3.64-3.67


No. 2
First-principles (PBE) data for crystalline Li4Al3Ag at its relaxed geometry, as listed in Alexandria via LeMat-Bulk.

Values from the calculation:
The formation energy comes out at -0.06 eV/atom. The calculation puts the density at 2.7 g/cm3. For the uncorrected energy, the calculation gives -0.20441 Ry/atom. As for the density of states at the Fermi level: 0.26 states/eV per atom. The magnetic moment is 0.0 μB per formula unit.

Unit cell a=2.7604 b=4.6017 c=11.1207 alpha=108.54 beta=90.01 gamma=90.00
Closest atoms and distances in Å follow each position.
Fractional coordinates of all 8 atoms:
Al  0.5000  0.0000  0.0000  4 Ag 2.68, 2 Al 2.76, 2 Li 2.79
Ag  0.0000  0.5000  0.0000  4 Li 2.67, 4 Al 2.68, 2 Ag 2.76
Li  0.5028  0.2937  0.5583  3 Li 2.45-2.62
Li  0.4972  0.7063  0.4417  3 Li 2.45-2.62
Al  0.9999  0.1037  0.3033  2 Al 2.76, 10 Li 2.85-3.07
Li  0.4996  0.4670  0.7905  1 Li 2.45, 2 Ag 2.67
Li  0.5004  0.5330  0.2095  1 Li 2.45, 2 Ag 2.67
Al  0.0001  0.8963  0.6967  2 Al 2.76, 10 Li 2.85-3.07


No. 3
First-principles (PBE) data for crystalline BeHgS2 at its relaxed geometry, as listed in Alexandria via LeMat-Bulk.

Values from the calculation:
The calculation puts the density at 5.6 g/cm3. For the uncorrected energy, the calculation gives -0.23095 Ry/atom. As for the density of states at the Fermi level: 0.39 states/eV per atom. The energy relative to the elements, uncorrected comes out at -0.0715 eV per atom. The magnetic moment is 0.0 μB per formula unit.

Unit cell a=10.3193 b=10.3193 c=4.1823 alpha=90.00 beta=90.00 gamma=158.59
Closest atoms and distances in Å follow each position.
Fractional coordinates of all 8 atoms:
Be  0.0623  0.9377  0.2500  4 S 2.12-2.13
S  0.1672  0.8328  0.2500  1 Be 2.13
Hg  0.3265  0.6735  0.2500  4 S 2.84
S  0.8328  0.1672  0.7500  1 Be 2.13
S  0.9579  0.0421  0.2500  3 Be 2.12-2.13
Hg  0.6735  0.3265  0.7500  4 S 2.84
S  0.0421  0.9579  0.7500  3 Be 2.12-2.13
Be  0.9377  0.0623  0.7500  4 S 2.12-2.13


No. 4
First-principles (PBE) data for crystalline YSi2P at its relaxed geometry, as listed in Alexandria via LeMat-Bulk.

Values from the calculation:
The calculation puts the density at 4.0 g/cm3. For the uncorrected energy, the calculation gives -0.43446 Ry/atom. As for the density of states at the Fermi level: 0.47 states/eV per atom. The energy relative to the elements, uncorrected comes out at -0.2311 eV per atom. The magnetic moment is 0.0 μB per formula unit.

Unit cell a=5.2383 b=5.2383 c=5.2383 alpha=142.04 beta=122.11 gamma=71.34
Closest atoms and distances in Å follow each position.
Fractional coordinates of all 4 atoms:
P  0.2062  0.7062  0.5000  2 Si 2.38
Si  0.7860  0.2860  0.5000  2 Si 2.56
Y  0.4968  0.4968  0.0000  8 Si 2.99-3.11, 4 P 3.00-3.10
Si  0.0110  0.0110  0.0000  2 P 2.38, 2 Si 2.56


No. 5
First-principles (PBE) data for crystalline ZrVNi at its relaxed geometry, as listed in Alexandria via LeMat-Bulk.

Values from the calculation:
The formation energy comes out at -0.22 eV/atom. The calculation puts the density at 7.1 g/cm3. For the uncorrected energy, the calculation gives -0.59032 Ry/atom. As for the density of states at the Fermi level: 0.77 states/eV per atom. The magnetic moment is 0.0 μB per formula unit.

Unit cell a=4.1401 b=7.4045 c=3.0862 alpha=90.00 beta=90.00 gamma=90.00
Closest atoms and distances in Å follow each position.
Fractional coordinates of all 6 atoms:
Zr  0.0000  0.6567  0.5000  5 Ni 2.65-2.90
V  0.5000  0.9975  0.5000  2 Ni 2.48, 4 V 2.58
Ni  0.0000  0.2652  0.5000  2 V 2.48, 4 Zr 2.65
Ni  0.5000  0.7348  0.0000  2 V 2.48, 4 Zr 2.65
V  0.0000  0.0025  0.0000  2 Ni 2.48, 4 V 2.58
Zr  0.5000  0.3433  0.0000  5 Ni 2.65-2.90


No. 6
First-principles (PBE) data for crystalline RbNbAg2Te4 at its relaxed geometry, as listed in Alexandria via LeMat-Bulk.

Values from the calculation:
The calculation puts the density at 5.0 g/cm3. For the uncorrected energy, the calculation gives -0.29262 Ry/atom. The energy relative to the elements, uncorrected comes out at -0.3180 eV per atom. The magnetic moment is 0.0 μB per formula unit.

Unit cell a=6.9337 b=7.4263 c=7.4263 alpha=81.20 beta=62.17 gamma=62.17
Closest atoms and distances in Å follow each position.
Fractional coordinates of all 8 atoms:
Ag  0.5000  0.3522  0.6478  2 Te 2.69, 1 Ag 2.86
Rb  0.0000  0.0000  0.0000  8 Te 3.83-3.90
Te  0.0081  0.8493  0.5243  1 Nb 2.66, 1 Ag 2.69
Te  0.3818  0.1507  0.4757  1 Nb 2.66, 1 Ag 2.69
Te  0.6182  0.5243  0.8493  1 Nb 2.66, 1 Ag 2.69
Nb  0.0000  0.5000  0.5000  4 Te 2.66
Te  0.9919  0.4757  0.1507  1 Nb 2.66, 1 Ag 2.69
Ag  0.5000  0.6478  0.3522  2 Te 2.69, 1 Ag 2.86


No. 7
First-principles (PBE) data for crystalline SrTb2CeS4 at its relaxed geometry, as listed in Alexandria via LeMat-Bulk.

Values from the calculation:
The calculation puts the density at 6.0 g/cm3. For the uncorrected energy, the calculation gives -0.45500 Ry/atom. As for the density of states at the Fermi level: 0.95 states/eV per atom. The energy relative to the elements, uncorrected comes out at -2.0174 eV per atom. The magnetic moment is 1.0 μB per formula unit.

Unit cell a=4.0033 b=6.9926 c=6.9984 alpha=70.87 beta=90.00 gamma=90.00
Closest atoms and distances in Å follow each position.
Fractional coordinates of all 8 atoms:
Ce  0.5000  0.5000  0.0000  6 S 2.89
S  0.5000  0.2345  0.7588  3 Tb 2.78-2.81, 1 Ce 2.89, 2 Sr 2.92
S  0.5000  0.7655  0.2412  3 Tb 2.78-2.81, 1 Ce 2.89, 2 Sr 2.92
S  0.0000  0.2376  0.2515  3 Tb 2.79-2.81, 2 Ce 2.89, 1 Sr 2.91
Tb  0.5000  0.0000  0.5000  6 S 2.81
Sr  0.0000  0.5000  0.5000  6 S 2.91-2.92
Tb  0.0000  0.0000  0.0000  6 S 2.78-2.79
S  0.0000  0.7624  0.7485  3 Tb 2.79-2.81, 2 Ce 2.89, 1 Sr 2.91


No. 8
First-principles (PBE) data for crystalline TlAgTe2 at its relaxed geometry, as listed in Alexandria via LeMat-Bulk.

Values from the calculation:
The calculation puts the density at 8.0 g/cm3. For the uncorrected energy, the calculation gives -0.20117 Ry/atom. As for the density of states at the Fermi level: 0.53 states/eV per atom. The energy relative to the elements, uncorrected comes out at 0.1382 eV per atom. The magnetic moment is 0.0 μB per formula unit.

Unit cell a=7.1752 b=7.1752 c=7.1752 alpha=145.48 beta=145.48 gamma=49.62
Closest atoms and distances in Å follow each position.
Fractional coordinates of all 4 atoms:
Te  0.2500  0.7500  0.5000  4 Ag 3.01
Tl  0.5000  0.5000  0.0000  4 Te 3.01
Ag  0.7500  0.2500  0.5000  4 Te 3.01
Te  0.0000  0.0000  0.0000  4 Tl 3.01